[1]
VASP calculation (GGA-PBE) on a relaxed Nd3Zn2Rh4 crystal.

Summary:
Energy of formation, eV/atom: -0.612
Raw total energy, Ry per atom: -0.4228

Cell and atoms, written as POSCAR:
```
Nd3Zn2Rh4
1.0
5.089 -2.137 0.000
5.089 2.137 0.000
-1.003 0.000 8.581
Nd Zn Rh
3 2 4
direct
0.000 0.000 0.000
0.378 0.378 0.621
0.622 0.622 0.379
0.319 0.319 0.220
0.681 0.681 0.780
0.090 0.090 0.636
0.283 0.283 0.913
0.717 0.717 0.087
0.910 0.910 0.364
```



[2]
VASP calculation (GGA-PBE) on a relaxed LiLa2MnW crystal.

Summary:
Energy of formation, eV/atom: 0.623
Raw total energy, Ry per atom: -0.4524

Cell and atoms, written as POSCAR:
```
LiLa2MnW
1.0
5.413 0.000 0.000
0.000 5.413 0.000
0.000 0.000 4.549
Li La Mn W
1 2 1 1
direct
0.000 0.000 0.000
0.000 0.500 0.500
0.500 0.000 0.500
0.500 0.500 0.500
0.500 0.500 0.000
```



[3]
VASP calculation (GGA-PBE) on a relaxed Tb3Dy6Zr crystal.

Summary:
Energy of formation, eV/atom: 0.210
Raw total energy, Ry per atom: -0.3524

Cell and atoms, written as POSCAR:
```
Tb3Dy6Zr
1.0
4.897 0.000 0.000
0.000 11.410 0.000
-0.019 0.000 11.441
Tb Dy Zr
6 12 2
direct
0.000 0.000 0.000
0.000 0.500 0.500
0.001 0.148 0.648
0.001 0.352 0.148
0.999 0.648 0.852
0.999 0.852 0.352
0.001 0.648 0.147
0.001 0.852 0.647
0.499 0.000 0.215
0.499 0.500 0.715
0.500 0.215 0.000
0.500 0.285 0.500
0.500 0.715 0.500
0.500 0.785 0.000
0.501 0.000 0.785
0.501 0.500 0.285
0.999 0.148 0.353
0.999 0.352 0.853
0.500 0.000 0.500
0.500 0.500 0.000
```